Below is an optimized crystal structure of NbSnSb, with properties calculated at the PBE-GGA level.

Lattice parameters (Å, degrees): 3.7332 5.7232 6.9782 105.92 105.46 90.01
Fractional positions:
Nb 0.1273 0.0898 0.2557
Nb 0.8727 0.9102 0.7443
Sn 0.2044 0.6492 0.4080
Sn 0.7956 0.3508 0.5920
Sb 0.4993 0.2549 0.9981
Sb 0.5007 0.7451 0.0019

V: 137.75 Å³ per cell
Density: 8.0 Mg/m³
Formation energy without anion corrections: -0.1 eV per formula unit
Crystal system: triclinic